No. 1
Density functional theory data (PBE) for TbPr6Nd2Er3 after structural relaxation.

a = 6.334 Å, b = 6.334 Å, c = 11.972 Å
α = 95.05°, β = 95.05°, γ = 120.02°
Element x y z (fractional)
1 Tb 0.000 0.000 0.000
2 Pr 0.915 0.583 0.746
3 Pr 0.752 0.752 0.254
4 Pr 0.085 0.417 0.254
5 Pr 0.583 0.915 0.746
6 Pr 0.248 0.248 0.746
7 Pr 0.417 0.085 0.254
8 Nd 0.333 0.667 0.000
9 Nd 0.667 0.333 0.000
10 Er 0.167 0.833 0.500
11 Er 0.833 0.167 0.500
12 Er 0.500 0.500 0.500

Output
Calculated volume: 409 Å³ per cell
Total magnetization: 0.000 μB/cell
Symmetry: C2/m (12)
Calculated formation energy: 0.01 eV per atom
N(E_F): 14.441 states/eV/f.u.

No. 2
Density functional theory data (PBE) for TbCe2 after structural relaxation.

a = 5.161 Å, b = 5.663 Å, c = 3.350 Å
α = 89.93°, β = 90.01°, γ = 62.92°
Element x y z (fractional)
1 Tb 0.780 0.327 0.237
2 Ce 0.468 0.952 0.737
3 Ce 0.093 0.702 0.737

Output
Calculated volume: 87 Å³ per cell
Total magnetization: 0.002 μB/cell
Symmetry: C2/m (12)
Calculated formation energy: 0.11 eV per atom
N(E_F): 8.347 states/eV/f.u.

No. 3
Density functional theory data (PBE) for CaVPd2Se after structural relaxation.

a = 4.791 Å, b = 4.700 Å, c = 4.791 Å
α = 90.00°, β = 90.00°, γ = 90.00°
Site moments in Bohr magnetons follow the coordinates.
Element x y z (fractional)
1 Ca 0.500 0.500 0.500  0.00
2 Se 0.000 0.500 0.000  -0.02
3 Pd 0.000 0.000 0.500  0.06
4 Pd 0.500 0.000 0.000  0.07
5 V 0.000 0.000 0.000  0.72

Output
Calculated volume: 108 Å³ per cell
Total magnetization: 0.921 μB/cell
Symmetry: P4/mmm (123)
N(E_F): 2.867 states/eV/f.u.
ΔE_f (raw): -0.261 eV per atom

No. 4
Density functional theory data (PBE) for BeAg2S after structural relaxation.

a = 3.907 Å, b = 3.907 Å, c = 9.256 Å
α = 77.82°, β = 77.82°, γ = 90.00°
Element x y z (fractional)
1 Be 0.500 0.500 0.000
2 Be 0.250 0.750 0.500
3 S 0.000 0.000 0.000
4 S 0.750 0.250 0.500
5 Ag 0.615 0.125 0.250
6 Ag 0.135 0.625 0.250
7 Ag 0.375 0.385 0.750
8 Ag 0.875 0.865 0.750

Output
Calculated volume: 135 Å³ per cell
Total magnetization: 0.000 μB/cell
Symmetry: I-42d (122)
N(E_F): 1.667 states/eV/f.u.
ΔE_f (raw): 0.358 eV per atom

No. 5
Density functional theory data (PBE) for Ca3UAg3Se8 after structural relaxation.

a = 7.852 Å, b = 8.491 Å, c = 8.247 Å
α = 120.20°, β = 90.00°, γ = 117.54°
Element x y z (fractional)
1 Ca 0.000 0.000 0.000
2 Ca 0.000 0.500 0.000
3 Ca 0.500 0.500 0.000
4 U 0.000 0.000 0.500
5 Ag 0.500 0.000 0.500
6 Ag 0.500 0.500 0.500
7 Ag 0.000 0.500 0.500
8 Se 0.241 0.482 0.263
9 Se 0.759 0.518 0.737
10 Se 0.778 0.555 0.292
11 Se 0.222 0.445 0.708
12 Se 0.743 0.977 0.256
13 Se 0.257 0.023 0.744
14 Se 0.234 0.977 0.256
15 Se 0.766 0.023 0.744

Output
Calculated volume: 401 Å³ per cell
Total magnetization: 0.000 μB/cell
Symmetry: C2/m (12)
N(E_F): 10.674 states/eV/f.u.
ΔE_f (raw): -0.991 eV per atom

No. 6
Density functional theory data (PBE) for SrCaSiAu after structural relaxation.

a = 5.266 Å, b = 5.266 Å, c = 5.266 Å
α = 60.00°, β = 60.00°, γ = 60.00°
Element x y z (fractional)
1 Sr 0.500 0.500 0.500
2 Ca 0.000 0.000 0.000
3 Au 0.750 0.750 0.750
4 Si 0.250 0.250 0.250

Output
Calculated volume: 103 Å³ per cell
Total magnetization: 0.000 μB/cell
Symmetry: F-43m (216)
N(E_F): 3.292 states/eV/f.u.
ΔE_f (raw): -0.486 eV per atom

No. 7
Density functional theory data (PBE) for Nd3Hg2Bi after structural relaxation.

a = 4.075 Å, b = 5.323 Å, c = 16.211 Å
α = 90.00°, β = 90.00°, γ = 90.00°
Element x y z (fractional)
1 Nd 0.500 0.500 0.666
2 Nd 0.501 0.000 0.500
3 Nd 0.500 0.500 0.334
4 Nd 0.500 0.000 0.166
5 Nd 0.499 0.500 0.000
6 Nd 0.500 0.000 0.834
7 Hg 0.000 0.000 0.678
8 Hg 0.000 0.000 0.322
9 Hg 0.000 0.500 0.178
10 Hg 0.000 0.500 0.822
11 Bi 0.001 0.500 0.500
12 Bi 0.999 0.000 0.000

Output
Calculated volume: 352 Å³ per cell
Total magnetization: 0.000 μB/cell
Symmetry: Pmmn (59)
Calculated formation energy: -0.57 eV per atom
N(E_F): 6.244 states/eV/f.u.

No. 8
Density functional theory data (PBE) for SrNb2CuO6F after structural relaxation.

a = 10.545 Å, b = 10.545 Å, c = 10.545 Å
α = 158.90°, β = 158.90°, γ = 30.01°
Site moments in Bohr magnetons follow the coordinates.
Element x y z (fractional)
1 Sr 0.000 0.000 0.000  0.00
2 Nb 0.622 0.622 0.000  0.00
3 Nb 0.378 0.378 0.000  0.00
4 O 0.712 0.712 0.000  -0.01
5 O 0.593 0.093 0.500  0.00
6 O 0.907 0.407 0.500  0.00
7 O 0.288 0.288 0.000  -0.01
8 O 0.096 0.596 0.500  0.00
9 O 0.404 0.904 0.500  0.00
10 Cu 0.750 0.250 0.500  -0.06
11 F 0.500 0.500 0.000  0.00

Output
Calculated volume: 152 Å³ per cell
Total magnetization: 0.067 μB/cell
Symmetry: I-4m2 (119)
N(E_F): 3.256 states/eV/f.u.
ΔE_f (raw): -2.480 eV per atom